CaAlAs2Br, optimized geometry, DFT PBE-GGA; VASP energy = -3.731 eV per atom; crystal system = tetragonal; energy above the most stable polymorph in this dataset = 0.000 eV per atom; ΔE_f (raw) = -0.39 eV per atom; size of the total moment = 0.000 μB/cell
1.0
-1.7267 1.4361 -4.2392
-4.2803 0.7986 2.0140
1.5243 5.2502 1.1577
Ca As Al Br
1 2 1 1
Direct
0.5000 0.5000 0.5000 Ca
0.5000 0.0000 0.0000 As
0.0000 0.5000 0.0000 As
0.0000 0.0000 0.0000 Al
0.0000 0.0000 0.5000 Br

CaAlAsBr2, optimized geometry, DFT PBE-GGA; VASP energy = -3.075 eV per atom; crystal system = tetragonal; energy above the most stable polymorph in this dataset = 0.312 eV per atom; ΔE_f (raw) = -0.33 eV per atom; size of the total moment = 2.004 μB/cell
1.0
5.5955 0.0000 0.0000
0.0000 5.5955 0.0000
0.0000 0.0000 5.9094
Br As Ca Al
2 1 1 1
Direct
0.0000 0.5000 0.0000 Br
0.5000 0.0000 0.0000 Br
0.0000 0.0000 0.5000 As
0.0000 0.0000 0.0000 Ca
0.5000 0.5000 0.5000 Al

CaAlAs2Br, optimized geometry, DFT PBE-GGA; VASP energy = -2.996 eV per atom; crystal system = tetragonal; energy above the most stable polymorph in this dataset = 0.735 eV per atom; ΔE_f (raw) = 0.35 eV per atom; size of the total moment = 1.880 μB/cell
1.0
-3.8883 -0.2016 3.9950
3.9942 -0.4979 3.8624
0.2159 5.5242 0.4889
As Ca Al Br
2 1 1 1
Direct
0.0000 0.5000 0.0000 As
0.5000 0.0000 0.0000 As
0.0000 0.0000 0.0000 Ca
0.5000 0.5000 0.5000 Al
0.0000 0.0000 0.5000 Br

CaAlAsBr2, optimized geometry, DFT PBE-GGA; VASP energy = -3.386 eV per atom; crystal system = tetragonal; energy above the most stable polymorph in this dataset = 0.000 eV per atom; ΔE_f (raw) = -0.64 eV per atom; size of the total moment = 0.000 μB/cell
1.0
-2.7285 3.8905 -1.9143
-4.0856 -1.5494 2.6743
1.4333 2.9131 3.8775
Br Ca Al As
2 1 1 1
Direct
0.0000 0.5000 0.0000 Br
0.5000 0.0000 0.0000 Br
0.5000 0.5000 0.5000 Ca
0.0000 0.0000 0.0000 Al
0.0000 0.0000 0.5000 As

AlCdAs2Br, optimized geometry, DFT PBE-GGA; VASP energy = -2.441 eV per atom; crystal system = tetragonal; energy above the most stable polymorph in this dataset = 0.408 eV per atom; ΔE_f (raw) = 0.69 eV per atom; size of the total moment = 1.640 μB/cell
1.0
5.1698 0.0000 0.0000
0.0000 5.1698 0.0000
0.0000 0.0000 5.8694
As Br Al Cd
2 1 1 1
Direct
0.5000 0.0000 0.0000 As
0.0000 0.5000 0.0000 As
0.0000 0.0000 0.5000 Br
0.5000 0.5000 0.5000 Al
0.0000 0.0000 0.0000 Cd

AlCdAs2Br, optimized geometry, DFT PBE-GGA; VASP energy = -2.849 eV per atom; crystal system = tetragonal; energy above the most stable polymorph in this dataset = 0.000 eV per atom; ΔE_f (raw) = 0.28 eV per atom; size of the total moment = 0.632 μB/cell
1.0
4.9728 0.0000 0.0000
0.0000 4.9728 0.0000
0.0000 0.0000 5.0729
As Cd Br Al
2 1 1 1
Direct
0.0000 0.5000 0.0000 As
0.5000 0.0000 0.0000 As
0.5000 0.5000 0.5000 Cd
0.0000 0.0000 0.5000 Br
0.0000 0.0000 0.0000 Al